Mn7Re6 | meta-GGA SCAN | single point on PBEsol structure

Calculated values
ΔH_f (0 K) = -1.0 eV/f.u.
Calculated total energy = -42.721 eV per atom
Total magnetization = 0.00 μB/cell

abc: 4.6212 4.6212 25.6958
angles: 90.00 90.00 120.00
Space group R-3m (No. 166, hexagonal axes)
Asymmetric unit:
Mn1 0.0000 0.0000 0.0000 x3
Mn2 0.0051 0.5025 0.4085 x18
Re1 0.0000 0.0000 0.1652 x6
Re2 0.0000 0.0000 0.3483 x6
Re3 0.0000 0.0000 0.4515 x6